Entry 1:
A plane-wave DFT calculation with PBE was carried out for a relaxed structure of YAlTeRu2.

It has space group P4/mmm (No. 123), with a = 4.940 Å, b = 4.940 Å, c = 5.419 Å, α = 90.00°, β = 90.00° and γ = 90.00°. The asymmetric unit holds Y at (0.000, 0.000, 0.000), Al at (0.000, 0.000, 0.500), Te at (0.500, 0.500, 0.500) and Ru at (0.000, 0.500, 0.000).

For the raw formation energy, the calculation gives 7.44 eV per formula unit.


Entry 2:
A plane-wave DFT calculation with PBE was carried out for a relaxed structure of In2TcTe.

It has space group Amm2 (No. 38), with a = 4.504 Å, b = 3.809 Å, c = 10.546 Å, α = 90.00°, β = 90.00° and γ = 90.00°. The asymmetric unit holds In at (0.000, 0.000, 0.000), In at (0.500, 0.000, 0.312), Tc at (0.500, 0.000, 0.582) and Te at (0.000, 0.000, 0.721).

For the raw formation energy, the calculation gives 0.99 eV per formula unit.


Entry 3:
A plane-wave DFT calculation with PBE was carried out for a relaxed structure of NbCu2Br6.

It has space group C2/c (No. 15), with a = 14.386 Å, b = 11.765 Å, c = 6.657 Å, α = 90.00°, β = 98.96° and γ = 90.00°. The asymmetric unit holds Nb at (0.000, 0.083, 0.250), Cu at (0.098, 0.422, 0.275), Br at (0.107, 0.077, 0.613), Br at (0.108, 0.233, 0.134) and Br at (0.122, 0.403, 0.630).

For the raw formation energy, the calculation gives -4.79 eV per formula unit.


Entry 4:
A plane-wave DFT calculation with PBE was carried out for a relaxed structure of AcPm2Nd2Dy.

It has space group Pmma (No. 51), with a = 7.286 Å, b = 5.832 Å, c = 10.067 Å, α = 90.00°, β = 90.00° and γ = 90.00°. The asymmetric unit holds Ac at (0.000, 0.000, 0.000), Pm at (0.250, 0.000, 0.337), Pm at (0.250, 0.500, 0.828), Nd at (0.000, 0.500, 0.500), Nd at (0.250, 0.000, 0.665) and Dy at (0.250, 0.500, 0.168).

The value obtained for the formation energy is 0.0590 eV per atom.


Calculated density list, top to bottom, in g cm⁻³: 5.60, 8.36, 4.17, 7.52
Density of states at the Fermi level list, top to bottom, in states/eV per cell: 4.21, 4.08, 15.59, 17.82